[1]
First-principles (PBE) data for KPd2Pb2 after structural relaxation, as listed in the Alexandria database. Values from VASP.

Computed properties:
DFT total energy (eV per cell): -39.204
ΔE to the lowest computed polymorph (eV per atom): 0.123
Size of the total moment (μB per cell): 0.0
DFT formation energy (meV/atom): -140.4

Quantum ESPRESSO input file:
```
&SYSTEM
  ibrav = 0, nat = 10, ntyp = 3
/
ATOMIC_SPECIES
Pb 207.20 Pb.upf
K 39.10 K.upf
Pd 106.42 Pd.upf
CELL_PARAMETERS angstrom
8.6113 0.0000 0.0000
0.0000 8.6113 0.0000
0.0000 0.0000 3.2546
ATOMIC_POSITIONS crystal
Pb 0.3637 0.8637 0.0000
Pb 0.8637 0.6363 0.0000
Pb 0.6363 0.1363 0.0000
Pb 0.1363 0.3637 0.0000
K 0.0000 0.0000 0.0000
K 0.5000 0.5000 0.0000
Pd 0.1534 0.6534 0.5000
Pd 0.6534 0.8466 0.5000
Pd 0.8466 0.3466 0.5000
Pd 0.3466 0.1534 0.5000
```

[2]
First-principles (PBE) data for KPd5Pb3 after structural relaxation, as listed in the Alexandria database. Values from VASP.

Computed properties:
DFT total energy (eV per cell): -80.558
Size of the total moment (μB per cell): 0.0
DFT formation energy (meV/atom): -232.5

Quantum ESPRESSO input file:
```
&SYSTEM
  ibrav = 0, nat = 18, ntyp = 3
/
ATOMIC_SPECIES
K 39.10 K.upf
Pd 106.42 Pd.upf
Pb 207.20 Pb.upf
CELL_PARAMETERS angstrom
-3.1212 -2.2235 1.9752
6.4980 -2.8553 2.3486
0.1818 8.7773 10.1682
ATOMIC_POSITIONS crystal
K 0.7882 0.5764 0.7500
K 0.2118 0.4236 0.2500
Pd 0.8103 0.6207 0.4434
Pd 0.1897 0.3793 0.9434
Pd 0.0000 0.0000 0.5000
Pd 0.0000 0.0000 0.0000
Pd 0.4346 0.8691 0.1307
Pd 0.5654 0.1309 0.8693
Pd 0.5654 0.1309 0.6307
Pd 0.8103 0.6207 0.0566
Pd 0.1897 0.3793 0.5566
Pd 0.4346 0.8691 0.3693
Pb 0.3790 0.7580 0.9329
Pb 0.9187 0.8373 0.2500
Pb 0.3790 0.7580 0.5671
Pb 0.6210 0.2420 0.4329
Pb 0.0813 0.1627 0.7500
Pb 0.6210 0.2420 0.0671
```

[3]
First-principles (PBE) data for KPd2Pb4 after structural relaxation, as listed in the Alexandria database. Values from VASP.

Computed properties:
DFT total energy (eV per cell): -111.623
Size of the total moment (μB per cell): 0.0
DFT formation energy (meV/atom): -227.0

Quantum ESPRESSO input file:
```
&SYSTEM
  ibrav = 0, nat = 28, ntyp = 3
/
ATOMIC_SPECIES
Pb 207.20 Pb.upf
K 39.10 K.upf
Pd 106.42 Pd.upf
CELL_PARAMETERS angstrom
4.8032 0.0000 0.0000
0.0000 7.6709 0.0000
0.0000 0.0000 19.8452
ATOMIC_POSITIONS crystal
Pb 0.2500 0.2676 0.6956
Pb 0.7500 0.7324 0.3044
Pb 0.7500 0.7676 0.8044
Pb 0.2500 0.2324 0.1956
Pb 0.2500 0.6860 0.6821
Pb 0.7500 0.3140 0.3179
Pb 0.7500 0.1860 0.8179
Pb 0.2500 0.8140 0.1821
Pb 0.2500 0.1438 0.5328
Pb 0.7500 0.8562 0.4672
Pb 0.7500 0.6438 0.9672
Pb 0.2500 0.3562 0.0328
Pb 0.2500 0.4919 0.4317
Pb 0.7500 0.5081 0.5683
Pb 0.7500 0.9919 0.0683
Pb 0.2500 0.0081 0.9317
K 0.7500 0.9846 0.6417
K 0.2500 0.0154 0.3583
K 0.2500 0.4846 0.8583
K 0.7500 0.5154 0.1417
Pd 0.2500 0.7568 0.5362
Pd 0.7500 0.2432 0.4638
Pd 0.7500 0.2568 0.9638
Pd 0.2500 0.7432 0.0362
Pd 0.2500 0.9701 0.7866
Pd 0.7500 0.0299 0.2134
Pd 0.7500 0.4701 0.7134
Pd 0.2500 0.5299 0.2866
```

[4]
First-principles (PBE) data for K2PdPb2 after structural relaxation, as listed in the Alexandria database. Values from VASP.

Computed properties:
DFT total energy (eV per cell): -31.370
ΔE to the lowest computed polymorph (eV per atom): 0.000
Size of the total moment (μB per cell): 0.0
DFT formation energy (meV/atom): -176.1

Quantum ESPRESSO input file:
```
&SYSTEM
  ibrav = 0, nat = 10, ntyp = 3
/
ATOMIC_SPECIES
K 39.10 K.upf
Pd 106.42 Pd.upf
Pb 207.20 Pb.upf
CELL_PARAMETERS angstrom
-2.2001 1.0470 4.4375
-0.5861 -5.5842 3.9147
8.4472 2.4104 6.5070
ATOMIC_POSITIONS crystal
K 0.6470 0.3748 0.3311
K 0.9083 0.2907 0.8926
K 0.3530 0.6252 0.6689
K 0.0917 0.7093 0.1074
Pd 0.6439 0.0649 0.6473
Pd 0.3561 0.9351 0.3527
Pb 0.1226 0.1886 0.5662
Pb 0.6258 0.8709 0.8774
Pb 0.8774 0.8114 0.4338
Pb 0.3742 0.1291 0.1226
```

[5]
First-principles (PBE) data for K2PdPb2 after structural relaxation, as listed in the Alexandria database. Values from VASP.

Computed properties:
DFT total energy (eV per cell): -30.375
ΔE to the lowest computed polymorph (eV per atom): 0.100
Size of the total moment (μB per cell): 0.0
DFT formation energy (meV/atom): -76.6

Quantum ESPRESSO input file:
```
&SYSTEM
  ibrav = 0, nat = 10, ntyp = 3
/
ATOMIC_SPECIES
K 39.10 K.upf
Pd 106.42 Pd.upf
Pb 207.20 Pb.upf
CELL_PARAMETERS angstrom
-4.6757 -0.6047 1.4989
1.5184 -3.2156 3.4393
3.3779 13.9645 8.0071
ATOMIC_POSITIONS crystal
K 0.8272 0.8272 0.6544
K 0.5772 0.0772 0.1544
K 0.9228 0.4228 0.8456
K 0.1728 0.1728 0.3456
Pd 0.5000 0.5000 0.0000
Pd 0.2500 0.7500 0.5000
Pb 0.4659 0.9659 0.9319
Pb 0.7159 0.7159 0.4319
Pb 0.2841 0.2841 0.5681
Pb 0.0341 0.5341 0.0681
```

[6]
First-principles (PBE) data for KPd3Pb2 after structural relaxation, as listed in the Alexandria database. Values from VASP.

Computed properties:
DFT total energy (eV per cell): -50.916
Size of the total moment (μB per cell): 0.0
DFT formation energy (meV/atom): -227.5

Quantum ESPRESSO input file:
```
&SYSTEM
  ibrav = 0, nat = 12, ntyp = 3
/
ATOMIC_SPECIES
K 39.10 K.upf
Pd 106.42 Pd.upf
Pb 207.20 Pb.upf
CELL_PARAMETERS angstrom
-1.0196 3.8970 -1.4271
-7.7266 -3.6048 2.0753
4.1223 3.6857 7.1192
ATOMIC_POSITIONS crystal
K 0.8502 0.7003 0.9548
K 0.1498 0.2997 0.0452
Pd 0.3135 0.6270 0.5406
Pd 0.9561 0.9123 0.6019
Pd 0.5781 0.1562 0.6382
Pd 0.4219 0.8438 0.3618
Pd 0.0439 0.0877 0.3981
Pd 0.6865 0.3730 0.4594
Pb 0.4697 0.9395 0.7983
Pb 0.5303 0.0605 0.2017
Pb 0.8080 0.6159 0.3223
Pb 0.1920 0.3841 0.6777
```

[7]
First-principles (PBE) data for KPdPb after structural relaxation, as listed in the Alexandria database. Values from VASP.

Computed properties:
DFT total energy (eV per cell): -21.581
Size of the total moment (μB per cell): 0.0
DFT formation energy (meV/atom): -264.0

Quantum ESPRESSO input file:
```
&SYSTEM
  ibrav = 0, nat = 6, ntyp = 3
/
ATOMIC_SPECIES
K 39.10 K.upf
Pd 106.42 Pd.upf
Pb 207.20 Pb.upf
CELL_PARAMETERS angstrom
-1.1821 -3.7735 3.0345
-2.3947 -2.2593 -3.7424
6.3894 -3.5607 -1.9388
ATOMIC_POSITIONS crystal
K 0.7500 0.7500 0.3280
K 0.2500 0.2500 0.6720
Pd 0.2500 0.7500 0.0000
Pd 0.7500 0.2500 0.0000
Pb 0.2500 0.2500 0.1625
Pb 0.7500 0.7500 0.8375
```

[8]
First-principles (PBE) data for KPd4Pb2 after structural relaxation, as listed in the Alexandria database. Values from VASP.

Computed properties:
DFT total energy (eV per cell): -61.419
ΔE to the lowest computed polymorph (eV per atom): 0.048
Size of the total moment (μB per cell): 0.0
DFT formation energy (meV/atom): -203.4

Quantum ESPRESSO input file:
```
&SYSTEM
  ibrav = 0, nat = 14, ntyp = 3
/
ATOMIC_SPECIES
K 39.10 K.upf
Pd 106.42 Pd.upf
Pb 207.20 Pb.upf
CELL_PARAMETERS angstrom
4.2959 0.0000 0.0000
0.0000 8.4295 0.0000
0.0000 0.0000 8.4295
ATOMIC_POSITIONS crystal
K 0.5000 0.0000 0.0000
K 0.0000 0.5000 0.5000
Pd 0.0000 0.0850 0.3551
Pd 0.0000 0.9150 0.6449
Pd 0.5000 0.1449 0.5850
Pd 0.5000 0.8551 0.4150
Pd 0.5000 0.4150 0.8551
Pd 0.5000 0.5850 0.1449
Pd 0.0000 0.3551 0.0850
Pd 0.0000 0.6449 0.9150
Pb 0.0000 0.2242 0.7758
Pb 0.0000 0.7758 0.2242
Pb 0.5000 0.7242 0.7242
Pb 0.5000 0.2758 0.2758
```

[9]
First-principles (PBE) data for K3Pd2Pb7 after structural relaxation, as listed in the Alexandria database. Values from VASP.

Computed properties:
DFT total energy (eV per cell): -41.284
Size of the total moment (μB per cell): 0.0
DFT formation energy (meV/atom): -137.3

Quantum ESPRESSO input file:
```
&SYSTEM
  ibrav = 0, nat = 12, ntyp = 3
/
ATOMIC_SPECIES
K 39.10 K.upf
Pd 106.42 Pd.upf
Pb 207.20 Pb.upf
CELL_PARAMETERS angstrom
-2.0656 -4.2273 -1.5486
5.3021 -1.4222 -3.1898
2.3862 -5.3383 11.3892
ATOMIC_POSITIONS crystal
K 0.5000 0.5000 0.0000
K 0.5000 0.6770 0.3898
K 0.5000 0.3230 0.6102
Pd 0.0000 0.1619 0.8106
Pd 0.0000 0.8381 0.1894
Pb 0.0000 0.5827 0.7945
Pb 0.0000 0.8664 0.6150
Pb 0.0000 0.0000 0.0000
Pb 0.0000 0.4173 0.2055
Pb 0.5000 0.0628 0.1994
Pb 0.5000 0.9372 0.8006
Pb 0.0000 0.1336 0.3850
```

[10]
First-principles (PBE) data for K2Pd12Pb7 after structural relaxation, as listed in the Alexandria database. Values from VASP.

Computed properties:
DFT total energy (eV per cell): -94.555
Size of the total moment (μB per cell): 0.0
DFT formation energy (meV/atom): -194.7

Quantum ESPRESSO input file:
```
&SYSTEM
  ibrav = 0, nat = 21, ntyp = 3
/
ATOMIC_SPECIES
K 39.10 K.upf
Pd 106.42 Pd.upf
Pb 207.20 Pb.upf
CELL_PARAMETERS angstrom
4.2465 0.0000 0.0000
0.0000 9.6356 -5.5631
0.0000 0.0000 11.1262
ATOMIC_POSITIONS crystal
K 0.2352 0.3333 0.6667
K 0.7648 0.6667 0.3333
Pd 0.2383 0.6172 0.0502
Pd 0.2383 0.4329 0.3828
Pd 0.2383 0.9498 0.5671
Pd 0.7617 0.3828 0.9498
Pd 0.7617 0.5671 0.6172
Pd 0.7617 0.0502 0.4329
Pd 0.2199 0.1125 0.2568
Pd 0.2199 0.1443 0.8875
Pd 0.2199 0.7432 0.8557
Pd 0.7801 0.8875 0.7432
Pd 0.7801 0.8557 0.1125
Pd 0.7801 0.2568 0.1443
Pb 0.5000 0.0000 0.0000
Pb 0.2709 0.8782 0.2864
Pb 0.2709 0.4081 0.1218
Pb 0.2709 0.7136 0.5919
Pb 0.7291 0.1218 0.7136
Pb 0.7291 0.5919 0.8782
Pb 0.7291 0.2864 0.4081
```

[11]
First-principles (PBE) data for KPd3Pb after structural relaxation, as listed in the Alexandria database. Values from VASP.

Computed properties:
DFT total energy (eV per cell): -41.783
ΔE to the lowest computed polymorph (eV per atom): 0.000
Size of the total moment (μB per cell): 0.0
DFT formation energy (meV/atom): -101.4

Quantum ESPRESSO input file:
```
&SYSTEM
  ibrav = 0, nat = 10, ntyp = 3
/
ATOMIC_SPECIES
K 39.10 K.upf
Pd 106.42 Pd.upf
Pb 207.20 Pb.upf
CELL_PARAMETERS angstrom
6.1512 0.0000 -2.4750
0.0000 6.0823 0.0000
-0.9093 0.0000 6.5575
ATOMIC_POSITIONS crystal
K 0.7667 0.9476 0.0276
K 0.2676 0.4476 0.5330
Pd 0.6785 0.4476 0.1250
Pd 0.3558 0.9476 0.4356
Pd 0.7249 0.1964 0.4899
Pd 0.7249 0.6989 0.4899
Pd 0.3094 0.6964 0.0707
Pd 0.3094 0.1989 0.0707
Pb 0.9115 0.4476 0.8869
Pb 0.1229 0.9476 0.6736
```

[12]
First-principles (PBE) data for K3Pd3Pb5 after structural relaxation, as listed in the Alexandria database. Values from VASP.

Computed properties:
DFT total energy (eV per cell): -38.659
Size of the total moment (μB per cell): 0.0
DFT formation energy (meV/atom): -113.3

Quantum ESPRESSO input file:
```
&SYSTEM
  ibrav = 0, nat = 11, ntyp = 3
/
ATOMIC_SPECIES
K 39.10 K.upf
Pd 106.42 Pd.upf
Pb 207.20 Pb.upf
CELL_PARAMETERS angstrom
-2.0890 -1.8319 -5.7494
6.7930 3.8066 -3.6810
0.4862 -8.2431 2.4498
ATOMIC_POSITIONS crystal
K 0.0000 0.6569 0.0000
K 0.0000 0.0000 0.6569
K 0.0000 0.3431 0.3431
Pd 0.5000 0.6289 0.0000
Pd 0.5000 0.3711 0.3711
Pd 0.5000 0.0000 0.6289
Pb 0.5000 0.6667 0.3333
Pb 0.5000 0.3333 0.6667
Pb 0.5000 0.2452 0.0000
Pb 0.5000 0.7548 0.7548
Pb 0.5000 0.0000 0.2452
```